[1]
Entry from the Alexandria database: a geometry-optimized SrMnIr structure (PBE-GGA).

Values from the calculation:
Calculated formation energy, eV per formula unit: 0.411
Distance to the lowest polymorph of the same formula, eV per formula unit: 0.61
M_tot, μB per formula unit: 0.000

a = 5.954 Å, b = 5.954 Å, c = 5.086 Å
α = 91.21°, β = 91.21°, γ = 42.42°
Sites, in units of the cell vectors:
Sr (0.000, 0.000, 0.000)
Sr (0.554, 0.554, 0.506)
Mn (0.281, 0.281, 0.239)
Mn (0.808, 0.808, 0.505)
Ir (0.277, 0.277, 0.726)
Ir (0.737, 0.737, 0.027)


[2]
Entry from the Alexandria database: a geometry-optimized SrMnIr structure (PBE-GGA).

Values from the calculation:
Calculated formation energy, eV per formula unit: 0.188
Distance to the lowest polymorph of the same formula, eV per formula unit: 0.39
M_tot, μB per formula unit: 4.096

a = 4.250 Å, b = 4.250 Å, c = 4.639 Å
α = 90.00°, β = 90.00°, γ = 120.00°
Sites, in units of the cell vectors:
Sr (0.000, 0.000, 0.000)
Mn (0.667, 0.333, 0.500)
Ir (0.333, 0.667, 0.500)